A.
Pu2P2H after structural relaxation. Source: Alexandria via LeMat-Bulk, functional PBE-GGA.

Results
magnetic moment: 19.197 Bohr magnetons per cell
space-group type: No. 36

Lattice parameters (Å, degrees): 7.9820 7.9820 5.5538 90.00 90.00 150.18
Element x y z (fractional)
Pu: 0.0808 0.9192 0.5000
Pu: 0.3338 0.6662 0.4828
Pu: 0.6662 0.3338 0.9828
Pu: 0.9192 0.0808 0.0000
P: 0.2914 0.7086 0.9869
P: 0.4965 0.5035 0.7354
P: 0.5035 0.4965 0.2354
P: 0.7086 0.2914 0.4869
H: 0.1059 0.8941 0.9055
H: 0.8941 0.1059 0.4055

=====

B.
Pu2P2H after structural relaxation. Source: Alexandria via LeMat-Bulk, functional PBE-GGA.

Results
magnetic moment: 35.987 Bohr magnetons per cell
space-group type: No. 57

Lattice parameters (Å, degrees): 7.6975 6.6896 6.9148 90.00 90.00 90.00
Element x y z (fractional)
Pu: 0.1192 0.0880 0.2500
Pu: 0.1192 0.4120 0.7500
Pu: 0.3703 0.5768 0.2500
Pu: 0.3703 0.9232 0.7500
Pu: 0.6297 0.0768 0.2500
Pu: 0.6297 0.4232 0.7500
Pu: 0.8808 0.5880 0.2500
Pu: 0.8808 0.9120 0.7500
P: 0.1332 0.7500 0.0000
P: 0.1332 0.7500 0.5000
P: 0.3821 0.2500 0.0000
P: 0.3821 0.2500 0.5000
P: 0.6179 0.7500 0.0000
P: 0.6179 0.7500 0.5000
P: 0.8668 0.2500 0.0000
P: 0.8668 0.2500 0.5000
H: 0.1233 0.0846 0.7500
H: 0.1233 0.4154 0.2500
H: 0.8767 0.5846 0.7500
H: 0.8767 0.9154 0.2500

=====

Among the structures shown above, B is the most stable, with the second-best lying 36 meV/atom higher.